# CaErMg2 (GGA-PBE, optimized geometry)
data_CaErMg2
_cell_length_a 3.5516
_cell_length_b 3.5516
_cell_length_c 32.9423
_cell_angle_alpha 90.00
_cell_angle_beta 90.00
_cell_angle_gamma 120.00
_space_group_name_H-M_alt 'R 3 m'
_space_group_IT_number 160
_space_group_name_Hall 'R 3 -2"'
loop_
_atom_site_label
_atom_site_type_symbol
_atom_site_fract_x
_atom_site_fract_y
_atom_site_fract_z
_atom_site_occupancy
Ca1 Ca 0.0000 0.0000 0.0000 1
Er1 Er 0.0000 0.0000 0.8320 1
Mg1 Mg 0.0000 0.0000 0.4185 1
Mg2 Mg 0.0000 0.0000 0.5798 1
# calculated volume	29.99	A^3/atom
# E_form	0.07	eV/atom
# density	3.543	g cm⁻³